(1)
# La5Tb2Sm12

An optimized crystal structure of La5Tb2Sm12 (PBE, Alexandria).

```
La5Tb2Sm12
1.0
9.358 -4.174 0.000
9.358 4.174 0.000
-3.119 0.000 8.648
La Tb Sm
5 2 12
Direct
0.000 0.000 0.000
0.242 0.242 0.714
0.303 0.303 0.320
0.697 0.697 0.680
0.758 0.758 0.286
0.326 0.674 0.500
0.674 0.326 0.500
0.052 0.052 0.671
0.067 0.666 0.652
0.075 0.616 0.033
0.334 0.933 0.348
0.384 0.925 0.967
0.493 0.493 0.828
0.507 0.507 0.172
0.616 0.075 0.033
0.666 0.067 0.652
0.925 0.384 0.967
0.933 0.334 0.348
0.948 0.948 0.329
```

## Properties
- ΔH_f (0 K) (eV per atom) = 0.19
- symmetry = C2/m, No. 12
- excess energy over the best structure of this formula in the dataset (meV per atom) = 94.2

***

(2)
# La4Tb5Sm3

An optimized crystal structure of La4Tb5Sm3 (PBE, Alexandria).

```
La4Tb5Sm3
1.0
8.183 -3.024 0.000
8.183 3.024 0.000
-4.249 0.000 8.481
La Tb Sm
4 5 3
Direct
0.084 0.084 0.442
0.213 0.213 0.881
0.787 0.787 0.119
0.916 0.916 0.558
0.000 0.000 0.000
0.329 0.329 0.612
0.428 0.428 0.301
0.572 0.572 0.699
0.671 0.671 0.388
0.210 0.210 0.230
0.500 0.500 0.000
0.790 0.790 0.770
```

## Properties
- ΔH_f (0 K) (eV per atom) = 0.21
- symmetry = C2/m, No. 12

***

(3)
# LaTb4Sm

An optimized crystal structure of LaTb4Sm (PBE, Alexandria).

```
LaTb4Sm
1.0
11.397 0.000 0.000
0.000 5.097 0.000
-2.283 0.000 6.844
La Tb Sm
2 8 2
Direct
0.000 0.000 0.000
0.500 0.500 0.000
0.167 0.500 0.832
0.169 0.500 0.336
0.331 0.000 0.664
0.333 0.000 0.168
0.667 0.000 0.832
0.669 0.000 0.336
0.831 0.500 0.664
0.833 0.500 0.168
0.000 0.000 0.500
0.500 0.500 0.500
```

## Properties
- ΔH_f (0 K) (eV per atom) = 0.02
- symmetry = C2/m, No. 12
- excess energy over the best structure of this formula in the dataset (meV per atom) = 0.0

***

(4)
# La5Tb5Sm2

An optimized crystal structure of La5Tb5Sm2 (PBE, Alexandria).

```
La5Tb5Sm2
1.0
7.780 -2.580 0.000
7.780 2.580 0.000
-5.190 0.000 10.279
La Tb Sm
5 5 2
Direct
0.000 0.000 0.000
0.082 0.082 0.750
0.249 0.249 0.250
0.751 0.751 0.750
0.918 0.918 0.250
0.333 0.333 0.000
0.416 0.416 0.748
0.500 0.500 0.500
0.584 0.584 0.252
0.667 0.667 0.000
0.166 0.166 0.499
0.834 0.834 0.501
```

## Properties
- ΔH_f (0 K) (eV per atom) = 0.02
- symmetry = C2/m, No. 12

***

(5)
# La12TbSm3

An optimized crystal structure of La12TbSm3 (PBE, Alexandria).

```
La12TbSm3
1.0
5.228 0.000 0.000
0.000 5.228 0.000
0.000 0.000 20.919
La Tb Sm
12 1 3
Direct
0.000 0.000 0.000
0.000 0.000 0.249
0.000 0.000 0.500
0.000 0.000 0.751
0.000 0.500 0.124
0.000 0.500 0.375
0.000 0.500 0.625
0.000 0.500 0.876
0.500 0.000 0.124
0.500 0.000 0.375
0.500 0.000 0.625
0.500 0.000 0.876
0.500 0.500 0.000
0.500 0.500 0.249
0.500 0.500 0.500
0.500 0.500 0.751
```

## Properties
- ΔH_f (0 K) (eV per atom) = 0.01
- symmetry = P4/mmm, No. 123

***

(6)
# La7Tb2Sm

An optimized crystal structure of La7Tb2Sm (PBE, Alexandria).

```
La7Tb2Sm
1.0
6.118 -8.613 0.000
6.118 8.613 0.000
0.000 0.000 3.545
La Tb Sm
7 2 1
Direct
0.000 0.000 0.000
0.113 0.375 0.000
0.180 0.820 0.500
0.375 0.113 0.000
0.625 0.887 0.000
0.820 0.180 0.500
0.887 0.625 0.000
0.334 0.666 0.000
0.666 0.334 0.000
0.500 0.500 0.500
```

## Properties
- ΔH_f (0 K) (eV per atom) = 0.32
- symmetry = Cmmm, No. 65
- excess energy over the best structure of this formula in the dataset (meV per atom) = 0.0

***

(7)
# LaTb2Sm4

An optimized crystal structure of LaTb2Sm4 (PBE, Alexandria).

```
LaTb2Sm4
1.0
6.184 0.000 0.000
0.000 6.682 0.000
-2.812 0.000 11.398
La Tb Sm
2 4 8
Direct
0.029 0.250 0.357
0.971 0.750 0.643
0.151 0.250 0.947
0.401 0.750 0.502
0.599 0.250 0.498
0.849 0.750 0.053
0.149 0.250 0.660
0.288 0.750 0.930
0.355 0.508 0.212
0.355 0.992 0.212
0.645 0.008 0.788
0.645 0.492 0.788
0.712 0.250 0.070
0.851 0.750 0.340
```

## Properties
- ΔH_f (0 K) (eV per atom) = 0.12
- symmetry = P2_1/m, No. 11
- excess energy over the best structure of this formula in the dataset (meV per atom) = 41.2

***

(8)
# LaTb4Sm3

An optimized crystal structure of LaTb4Sm3 (PBE, Alexandria).

```
LaTb4Sm3
1.0
3.463 0.000 0.000
0.000 11.715 0.000
0.000 0.000 13.200
La Tb Sm
2 8 6
Direct
0.000 0.000 0.000
0.500 0.500 0.500
0.000 0.251 0.135
0.000 0.251 0.865
0.000 0.749 0.135
0.000 0.749 0.865
0.500 0.249 0.365
0.500 0.249 0.635
0.500 0.751 0.365
0.500 0.751 0.635
0.000 0.000 0.500
0.000 0.500 0.258
0.000 0.500 0.742
0.500 0.000 0.242
0.500 0.000 0.758
0.500 0.500 0.000
```

## Properties
- ΔH_f (0 K) (eV per atom) = 0.13
- symmetry = Immm, No. 71
- excess energy over the best structure of this formula in the dataset (meV per atom) = 101.7

***

(9)
# La4TbSm

An optimized crystal structure of La4TbSm (PBE, Alexandria).

```
La4TbSm
1.0
6.143 0.000 0.000
0.000 11.366 0.000
0.000 0.000 6.130
La Tb Sm
8 2 2
Direct
0.000 0.158 0.000
0.000 0.342 0.500
0.000 0.658 0.500
0.000 0.842 0.000
0.500 0.158 0.500
0.500 0.342 0.000
0.500 0.658 0.000
0.500 0.842 0.500
0.000 0.000 0.500
0.500 0.500 0.500
0.000 0.500 0.000
0.500 0.000 0.000
```

## Properties
- ΔH_f (0 K) (eV per atom) = 0.10
- symmetry = Cmmm, No. 65
- excess energy over the best structure of this formula in the dataset (meV per atom) = 41.8

***

(10)
# La12TbSm7

An optimized crystal structure of La12TbSm7 (PBE, Alexandria).

```
La12TbSm7
1.0
9.856 5.691 2.142
-9.856 5.691 2.142
0.000 -11.381 2.142
La Tb Sm
12 1 7
Direct
0.000 0.408 0.592
0.000 0.592 0.408
0.070 0.070 0.425
0.070 0.425 0.070
0.408 0.000 0.592
0.408 0.592 0.000
0.425 0.070 0.070
0.575 0.930 0.930
0.592 0.000 0.408
0.592 0.408 0.000
0.930 0.575 0.930
0.930 0.930 0.575
0.500 0.500 0.500
0.000 0.000 0.000
0.134 0.385 0.385
0.385 0.134 0.385
0.385 0.385 0.134
0.615 0.615 0.866
0.615 0.866 0.615
0.866 0.615 0.615
```

## Properties
- ΔH_f (0 K) (eV per atom) = 0.18
- symmetry = R-3m, No. 166
- excess energy over the best structure of this formula in the dataset (meV per atom) = 0.0

***

(11)
# LaTb4Sm5

An optimized crystal structure of LaTb4Sm5 (PBE, Alexandria).

```
LaTb4Sm5
1.0
-5.168 5.168 3.166
5.168 -5.168 3.166
5.168 5.168 -3.166
La Tb Sm
1 4 5
Direct
0.000 0.000 0.000
0.116 0.814 0.396
0.418 0.719 0.604
0.719 0.116 0.302
0.814 0.418 0.698
0.041 0.123 0.619
0.123 0.504 0.082
0.423 0.041 0.918
0.504 0.423 0.381
0.540 0.540 0.000
```

## Properties
- ΔH_f (0 K) (eV per atom) = 0.28
- symmetry = I4, No. 79
- excess energy over the best structure of this formula in the dataset (meV per atom) = 259.2

***

(12)
# La3Tb4Sm8

An optimized crystal structure of La3Tb4Sm8 (PBE, Alexandria).

```
La3Tb4Sm8
1.0
7.023 -6.126 0.000
7.023 6.126 0.000
-3.393 0.000 6.052
La Tb Sm
3 4 8
Direct
0.000 0.000 0.000
0.000 0.500 0.000
0.500 0.000 0.000
0.000 0.500 0.500
0.500 0.000 0.500
0.500 0.500 0.000
0.500 0.500 0.500
0.205 0.205 0.703
0.205 0.795 0.500
0.252 0.252 0.257
0.252 0.748 0.000
0.748 0.252 0.000
0.748 0.748 0.743
0.795 0.205 0.500
0.795 0.795 0.297
```

## Properties
- ΔH_f (0 K) (eV per atom) = 0.33
- symmetry = C2/m, No. 12

***

(13)
# La14TbSm

An optimized crystal structure of La14TbSm (PBE, Alexandria).

```
La14TbSm
1.0
11.926 0.000 0.000
0.000 5.790 4.199
0.000 -5.790 4.199
La Tb Sm
14 1 1
Direct
0.000 0.000 0.000
0.000 0.432 0.432
0.000 0.525 0.945
0.000 0.945 0.525
0.246 0.239 0.807
0.246 0.807 0.239
0.253 0.312 0.312
0.262 0.743 0.743
0.500 0.516 0.974
0.500 0.974 0.516
0.738 0.743 0.743
0.747 0.312 0.312
0.754 0.239 0.807
0.754 0.807 0.239
0.500 0.470 0.470
0.500 0.036 0.036
```

## Properties
- ΔH_f (0 K) (eV per atom) = 0.08
- symmetry = Amm2, No. 38

***

(14)
# La4Tb6Sm

An optimized crystal structure of La4Tb6Sm (PBE, Alexandria).

```
La4Tb6Sm
1.0
-3.416 3.416 8.422
3.416 -3.416 8.422
3.416 3.416 -8.422
La Tb Sm
4 6 1
Direct
0.132 0.132 0.618
0.486 0.868 0.000
0.514 0.514 0.382
0.868 0.486 0.000
0.000 0.500 0.500
0.057 0.710 0.000
0.290 0.290 0.347
0.500 0.000 0.500
0.710 0.057 0.000
0.943 0.943 0.653
0.500 0.500 0.000
```

## Properties
- ΔH_f (0 K) (eV per atom) = 0.29
- symmetry = I-42m, No. 121

***

(15)
# La2Tb8Sm

An optimized crystal structure of La2Tb8Sm (PBE, Alexandria).

```
La2Tb8Sm
1.0
9.175 -2.551 0.000
9.175 2.551 0.000
-2.129 0.000 7.775
La Tb Sm
2 8 1
Direct
0.227 0.227 0.137
0.773 0.773 0.863
0.044 0.044 0.227
0.135 0.135 0.677
0.319 0.319 0.593
0.411 0.411 0.046
0.589 0.589 0.954
0.681 0.681 0.407
0.865 0.865 0.323
0.956 0.956 0.773
0.500 0.500 0.500
```

## Properties
- ΔH_f (0 K) (eV per atom) = 0.02
- symmetry = C2/m, No. 12

***

(16)
# LaTbSm4

An optimized crystal structure of LaTbSm4 (PBE, Alexandria).

```
LaTbSm4
1.0
12.062 0.000 0.000
0.000 3.645 0.000
-4.352 0.000 9.300
La Tb Sm
2 2 8
Direct
0.000 0.000 0.000
0.500 0.500 0.000
0.000 0.000 0.500
0.500 0.500 0.500
0.166 0.500 0.830
0.167 0.500 0.337
0.333 0.000 0.663
0.334 0.000 0.170
0.666 0.000 0.830
0.667 0.000 0.337
0.833 0.500 0.663
0.834 0.500 0.170
```

## Properties
- ΔH_f (0 K) (eV per atom) = 0.02
- symmetry = C2/m, No. 12
- excess energy over the best structure of this formula in the dataset (meV per atom) = 0.0

***

(17)
# La10Tb4Sm

An optimized crystal structure of La10Tb4Sm (PBE, Alexandria).

```
La10Tb4Sm
1.0
-5.809 5.809 3.980
5.809 -5.809 3.980
5.809 5.809 -3.980
La Tb Sm
10 4 1
Direct
0.008 0.791 0.217
0.209 0.427 0.217
0.209 0.992 0.783
0.250 0.750 0.500
0.427 0.209 0.217
0.573 0.791 0.783
0.750 0.250 0.500
0.791 0.008 0.217
0.791 0.573 0.783
0.992 0.209 0.783
0.271 0.271 0.543
0.271 0.729 0.000
0.729 0.271 0.000
0.729 0.729 0.457
0.500 0.500 0.000
```

## Properties
- ΔH_f (0 K) (eV per atom) = 0.20
- symmetry = I4/mmm, No. 139

***

(18)
# LaTb6Sm8

An optimized crystal structure of LaTb6Sm8 (PBE, Alexandria).

```
LaTb6Sm8
1.0
4.570 2.638 6.984
-4.570 2.638 6.984
0.000 -5.276 6.984
La Tb Sm
1 6 8
Direct
0.000 0.000 0.000
0.099 0.535 0.244
0.244 0.099 0.535
0.465 0.756 0.901
0.535 0.244 0.099
0.756 0.901 0.465
0.901 0.465 0.756
0.113 0.718 0.748
0.252 0.887 0.282
0.282 0.252 0.887
0.423 0.423 0.423
0.577 0.577 0.577
0.718 0.748 0.113
0.748 0.113 0.718
0.887 0.282 0.252
```

## Properties
- ΔH_f (0 K) (eV per atom) = 0.13
- symmetry = R-3, No. 148

***

(19)
# La5Tb2Sm2

An optimized crystal structure of La5Tb2Sm2 (PBE, Alexandria).

```
La5Tb2Sm2
1.0
3.682 0.000 0.000
-0.001 5.215 0.000
-1.816 -2.596 16.501
La Tb Sm
5 2 2
Direct
0.000 0.000 0.000
0.222 0.222 0.444
0.442 0.442 0.885
0.558 0.558 0.115
0.778 0.778 0.556
0.333 0.334 0.667
0.667 0.666 0.333
0.114 0.113 0.226
0.886 0.887 0.774
```

## Properties
- ΔH_f (0 K) (eV per atom) = 0.02
- symmetry = P-1, No. 2
- excess energy over the best structure of this formula in the dataset (meV per atom) = 0.0

***

(20)
# LaTb4Sm15

An optimized crystal structure of LaTb4Sm15 (PBE, Alexandria).

```
LaTb4Sm15
1.0
5.123 0.000 0.000
0.000 5.123 0.000
0.000 0.000 25.633
La Tb Sm
1 4 15
Direct
0.000 0.000 0.000
0.000 0.000 0.201
0.000 0.000 0.401
0.000 0.000 0.599
0.000 0.000 0.799
0.000 0.500 0.102
0.000 0.500 0.301
0.000 0.500 0.500
0.000 0.500 0.699
0.000 0.500 0.898
0.500 0.000 0.102
0.500 0.000 0.301
0.500 0.000 0.500
0.500 0.000 0.699
0.500 0.000 0.898
0.500 0.500 0.000
0.500 0.500 0.202
0.500 0.500 0.401
0.500 0.500 0.599
0.500 0.500 0.798
```

## Properties
- ΔH_f (0 K) (eV per atom) = 0.02
- symmetry = P4/mmm, No. 123

***

no.,Fermi-level density of states (states/eV/atom)
1,1.4500
2,1.7054
3,1.4810
4,1.6817
5,1.5699
6,1.7254
7,1.5738
8,1.6276
9,1.9786
10,1.2847
11,1.3970
12,1.7635
13,1.7269
14,1.4130
15,1.5716
16,1.5360
17,1.5363
18,1.5472
19,1.8400
20,1.4467